{"formula": "Ni2Os", "functional": "PBE", "state": "relaxed", "e_above_lowest_polymorph_ev_per_fu": 0.28, "sg": "P6/mmm", "energy_ev_per_atom": -7.44, "formation_enthalpy_0k_mev_per_atom": 157.0, "lattice_angstrom": [[2.028, -3.513, 0.000], [2.028, 3.513, 0.000], [0.000, 0.000, 2.530]], "species": ["Ni", "Ni", "Os"], "fractional_positions": [[0.667, 0.333, 0.000], [0.333, 0.667, 0.000], [0.000, 0.000, 0.500]]}